1.
A plane-wave DFT calculation with PBE was carried out for crystalline BC5 at its relaxed geometry.

Unit cell a=2.599 b=2.599 c=14.008 alpha=90.00 beta=90.00 gamma=120.00
Fractional coordinates of all 12 atoms:
B (0.667, 0.333, 0.901)
B (0.667, 0.333, 0.641)
C (0.000, 0.000, 0.916)
C (0.333, 0.667, 0.626)
C (0.667, 0.333, 0.326)
C (0.000, 0.000, 0.363)
C (0.000, 0.000, 0.473)
C (0.333, 0.667, 0.510)
C (0.333, 0.667, 0.179)
C (0.667, 0.333, 0.216)
C (0.000, 0.000, 0.032)
C (0.333, 0.667, 0.068)

SG: P-3m1 (164)
Formation energy from the elements, meV per atom: 283.9
Calculated total energy, eV/atom: -8.516
Crystal system: trigonal



2.
A plane-wave DFT calculation with PBE was carried out for crystalline Cu2RhPb2 at its relaxed geometry.

Unit cell a=6.944 b=6.944 c=3.882 alpha=90.00 beta=90.00 gamma=90.00
Fractional coordinates of all 10 atoms:
Pb (0.180, 0.680, 0.500)
Pb (0.680, 0.820, 0.500)
Pb (0.820, 0.320, 0.500)
Pb (0.320, 0.180, 0.500)
Rh (0.000, 0.000, 0.000)
Rh (0.500, 0.500, 0.000)
Cu (0.374, 0.874, 0.000)
Cu (0.874, 0.626, 0.000)
Cu (0.626, 0.126, 0.000)
Cu (0.126, 0.374, 0.000)

SG: P4/mbm (127)
Formation energy from the elements, meV per atom: 249.4
Calculated total energy, eV/atom: -4.343
Crystal system: tetragonal



3.
A plane-wave DFT calculation with PBE was carried out for crystalline LiTbScSb at its relaxed geometry.

Unit cell a=5.056 b=5.056 c=5.056 alpha=60.00 beta=60.00 gamma=60.00
Fractional coordinates of all 4 atoms:
Sc (0.250, 0.250, 0.250)
Sb (0.500, 0.500, 0.500)
Tb (0.750, 0.750, 0.750)
Li (0.000, 0.000, 0.000)

SG: F-43m (216)
Formation energy (no corrections), meV/atom: -422
Calculated total energy, eV/atom: -4.671
Crystal system: cubic



4.
A plane-wave DFT calculation with PBE was carried out for crystalline Ta12MnMo6 at its relaxed geometry.

Unit cell a=6.960 b=6.960 c=6.960 alpha=88.25 beta=88.25 gamma=88.25
Fractional coordinates of all 19 atoms:
Ta (0.814, 0.518, 0.418)
Ta (0.418, 0.814, 0.518)
Ta (0.518, 0.418, 0.814)
Ta (0.186, 0.482, 0.582)
Ta (0.582, 0.186, 0.482)
Ta (0.482, 0.582, 0.186)
Ta (0.058, 0.143, 0.379)
Ta (0.857, 0.621, 0.942)
Ta (0.621, 0.942, 0.857)
Ta (0.942, 0.857, 0.621)
Ta (0.143, 0.379, 0.058)
Ta (0.379, 0.058, 0.143)
Mn (0.000, 0.000, 0.000)
Mo (0.746, 0.884, 0.255)
Mo (0.745, 0.254, 0.116)
Mo (0.116, 0.745, 0.254)
Mo (0.254, 0.116, 0.745)
Mo (0.255, 0.746, 0.884)
Mo (0.884, 0.255, 0.746)

SG: R-3 (148)
Formation energy from the elements, meV per atom: 121.1
Calculated total energy, eV/atom: -11.268
Crystal system: trigonal



5.
A plane-wave DFT calculation with PBE was carried out for crystalline AcSiRh3 at its relaxed geometry.

Unit cell a=4.582 b=4.582 c=4.582 alpha=90.00 beta=90.00 gamma=90.00
Fractional coordinates of all 5 atoms:
Ac (0.500, 0.500, 0.500)
Rh (0.000, 0.500, 0.000)
Rh (0.000, 0.000, 0.500)
Rh (0.500, 0.000, 0.000)
Si (0.000, 0.000, 0.000)

SG: Pm-3m (221)
Formation energy (no corrections), meV/atom: -689
Calculated total energy, eV/atom: -7.007
Crystal system: cubic



6.
A plane-wave DFT calculation with PBE was carried out for crystalline Ho6In2Ir at its relaxed geometry.

Unit cell a=5.043 b=7.232 c=8.650 alpha=114.71 beta=106.94 gamma=90.00
Fractional coordinates of all 9 atoms:
Ho (0.155, 0.393, 0.310)
Ho (0.845, 0.083, 0.690)
Ho (0.845, 0.607, 0.690)
Ho (0.500, 0.225, 0.000)
Ho (0.155, 0.917, 0.310)
Ho (0.500, 0.775, 0.000)
In (0.667, 0.667, 0.333)
In (0.333, 0.333, 0.667)
Ir (0.000, 0.000, 0.000)

SG: Immm (71)
Formation energy from the elements, meV per atom: -306.4
Calculated total energy, eV/atom: -4.951
Crystal system: orthorhombic



7.
A plane-wave DFT calculation with PBE was carried out for crystalline Pm2ThOs9 at its relaxed geometry.

Unit cell a=5.383 b=5.383 c=9.239 alpha=73.94 beta=73.94 gamma=60.99
Fractional coordinates of all 12 atoms:
Pm (0.855, 0.855, 0.422)
Pm (0.145, 0.145, 0.578)
Th (0.000, 0.000, 0.000)
Os (0.637, 0.637, 0.006)
Os (0.363, 0.363, 0.994)
Os (0.500, 0.500, 0.500)
Os (0.417, 0.417, 0.261)
Os (0.934, 0.404, 0.237)
Os (0.404, 0.934, 0.237)
Os (0.583, 0.583, 0.739)
Os (0.596, 0.066, 0.763)
Os (0.066, 0.596, 0.763)

SG: C2/m (12)
Formation energy from the elements, meV per atom: -46.4
Calculated total energy, eV/atom: -9.879
Crystal system: monoclinic



8.
A plane-wave DFT calculation with PBE was carried out for crystalline TmZrTi at its relaxed geometry.

Unit cell a=3.205 b=3.205 c=7.792 alpha=90.00 beta=90.00 gamma=120.00
Fractional coordinates of all 3 atoms:
Tm (0.000, 0.000, 0.012)
Zr (0.333, 0.667, 0.644)
Ti (0.667, 0.333, 0.344)

SG: P3m1 (156)
Formation energy from the elements, meV per atom: 193.3
Calculated total energy, eV/atom: -6.778
Crystal system: trigonal



9.
A plane-wave DFT calculation with PBE was carried out for crystalline CaAcVN3 at its relaxed geometry.

Unit cell a=3.945 b=6.919 c=7.260 alpha=105.57 beta=90.00 gamma=106.57
Fractional coordinates of all 12 atoms:
Ca (0.653, 0.307, 0.575)
Ca (0.347, 0.693, 0.425)
Ac (0.355, 0.711, 0.924)
Ac (0.645, 0.289, 0.076)
V (0.000, 0.000, 0.300)
V (0.000, 0.000, 0.700)
N (0.848, 0.697, 0.168)
N (0.853, 0.706, 0.671)
N (0.497, 0.995, 0.278)
N (0.147, 0.294, 0.329)
N (0.503, 0.005, 0.722)
N (0.152, 0.303, 0.832)

SG: C2/m (12)
Formation energy (no corrections), meV/atom: -945
Calculated total energy, eV/atom: -7.646
Crystal system: monoclinic



10.
A plane-wave DFT calculation with PBE was carried out for crystalline Nb2Al7Ga2 at its relaxed geometry.

Unit cell a=6.713 b=5.522 c=5.522 alpha=101.30 beta=77.22 gamma=77.22
Fractional coordinates of all 11 atoms:
Nb (0.206, 0.596, 0.596)
Nb (0.794, 0.404, 0.404)
Al (0.158, 0.504, 0.104)
Al (0.842, 0.896, 0.496)
Al (0.842, 0.496, 0.896)
Al (0.158, 0.104, 0.504)
Al (0.522, 0.194, 0.194)
Al (0.000, 0.000, 0.000)
Al (0.478, 0.806, 0.806)
Ga (0.500, 0.271, 0.729)
Ga (0.500, 0.729, 0.271)

SG: C2/m (12)
Formation energy from the elements, meV per atom: -211.7
Calculated total energy, eV/atom: -4.975
Crystal system: monoclinic



11.
A plane-wave DFT calculation with PBE was carried out for crystalline Pm2AgPd at its relaxed geometry.

Unit cell a=3.659 b=3.659 c=7.363 alpha=90.00 beta=90.00 gamma=90.00
Fractional coordinates of all 4 atoms:
Pd (0.500, 0.500, 0.000)
Ag (0.500, 0.500, 0.500)
Pm (0.000, 0.000, 0.762)
Pm (0.000, 0.000, 0.238)

SG: P4/mmm (123)
Formation energy from the elements, meV per atom: -514.4
Calculated total energy, eV/atom: -4.901
Crystal system: tetragonal



12.
A plane-wave DFT calculation with PBE was carried out for crystalline Hf3Co2Au3 at its relaxed geometry.

Unit cell a=3.208 b=7.026 c=7.026 alpha=120.00 beta=90.00 gamma=90.00
Fractional coordinates of all 8 atoms:
Hf (0.500, 0.421, 0.421)
Hf (0.500, 0.579, 0.000)
Hf (0.500, 0.000, 0.579)
Co (0.000, 0.333, 0.667)
Co (0.000, 0.667, 0.333)
Au (0.000, 0.766, 0.766)
Au (0.000, 0.234, 0.000)
Au (0.000, 0.000, 0.234)

SG: P-62m (189)
Formation energy from the elements, meV per atom: -518.7
Calculated total energy, eV/atom: -7.257
Crystal system: hexagonal